Compound: InGa2GeBr
Source: Alexandria
Functional: PBE-GGA
Structure: optimized geometry

ρ = 4.2 Mg/m³
ΔE_f (raw) = 0.41 eV/atom
total DFT energy (no corrections) = -2.606 eV per atom

a b c (Å): 5.409 5.409 5.480
angles (deg): 90.00 90.00 90.00
Space group P4/mmm (No. 123)
Inequivalent atoms, fractional coordinates:
In 0.000 0.000 0.000 (multiplicity 1)
Ga 0.000 0.500 0.000 (multiplicity 2)
Ge 0.000 0.000 0.500 (multiplicity 1)
Br 0.500 0.500 0.500 (multiplicity 1)

***

Compound: SrCdOs
Source: Alexandria
Functional: PBE-GGA
Structure: optimized geometry

energy of formation = 62 kJ per mole of atoms
ρ = 9.8 Mg/m³
distance to the lowest polymorph of the same formula = 35 meV per atom
total DFT energy (no corrections) = -3.968 eV per atom

a b c (Å): 5.1093 5.1093 2.9222
angles (deg): 90.00 90.00 120.00
Space group P3m1 (No. 156)
Inequivalent atoms, fractional coordinates:
Sr 0.0000 0.0000 0.0000 (multiplicity 1)
Cd 0.6667 0.3333 0.5032 (multiplicity 1)
Os 0.3333 0.6667 0.4971 (multiplicity 1)